Entry one
First-principles (PBE) data for an optimized crystal structure of Li2Ga2Ag, as listed in Alexandria.

Calculated values
Spin magnetization in μB/cell: 0.00
Crystal system: tetragonal

Structure (extended XYZ):
```
5
Lattice="3.6332 0.0000 0.0000 0.0000 3.6332 0.0000 1.8166 1.8166 6.5625" Properties=species:S:1:pos:R:3 pbc="T T T"
Ga 1.8166 1.8166 1.2877
Ga 3.6332 3.6332 5.2748
Ag 0.0000 0.0000 0.0000
Li 3.6332 1.8166 3.2813
Li 1.8166 3.6332 3.2813
```

---

Entry two
First-principles (PBE) data for an optimized crystal structure of Li2Ga2Ag, as listed in Alexandria.

Calculated values
Spin magnetization in μB/cell: 0.00
Crystal system: monoclinic

Structure (extended XYZ):
```
10
Lattice="4.4816 0.0000 0.0000 2.2408 4.6966 0.5628 2.2408 1.6237 7.9358" Properties=species:S:1:pos:R:3 pbc="T T T"
Li 2.2408 1.3291 0.5586
Li 4.4816 2.2060 5.2855
Li 6.7223 4.9912 7.9400
Li 4.4816 4.1143 3.2131
Ga 6.7223 2.5215 6.9681
Ga 2.2408 2.0043 3.6115
Ga 2.2408 3.7988 1.5305
Ga 6.7223 4.3160 4.8871
Ag 4.4816 1.5150 2.1881
Ag 4.4816 4.8052 6.3105
```

---

Entry three
First-principles (PBE) data for an optimized crystal structure of Li2Ga2Ag, as listed in Alexandria.

Calculated values
Spin magnetization in μB/cell: 0.00
Crystal system: tetragonal

Structure (extended XYZ):
```
10
Lattice="7.1800 0.0000 0.0000 0.0000 7.1800 0.0000 0.0000 0.0000 3.1475" Properties=species:S:1:pos:R:3 pbc="T T T"
Ga 1.1308 4.7208 1.5738
Ga 4.7208 6.0492 1.5738
Ga 6.0492 2.4592 1.5738
Ga 2.4592 1.1308 1.5738
Ag 0.0000 0.0000 0.0000
Ag 3.5900 3.5900 0.0000
Li 2.5856 6.1757 0.0000
Li 6.1757 4.5944 0.0000
Li 4.5944 1.0044 0.0000
Li 1.0044 2.5856 0.0000
```

---

Here are the energies relative to the best structure, in meV/atom: entry one 171; entry two 0; entry three 127.

---

Entry one
First-principles (PBE) data for an optimized crystal structure of Li5GaAg, as listed in Alexandria.

Calculated values
Spin magnetization in μB/cell: 0.00
Crystal system: monoclinic

Structure (extended XYZ):
```
14
Lattice="5.5424 0.3558 0.5651 2.0958 5.1432 0.5651 3.6385 2.6195 9.3601" Properties=species:S:1:pos:R:3 pbc="T T T"
Li 7.0623 3.9083 3.3246
Li 4.5942 2.8061 4.9656
Li 7.7662 6.7672 8.0046
Li 4.0604 4.3327 2.9052
Li 5.3387 3.3421 0.8448
Li 5.9379 4.7764 9.6456
Li 7.2163 3.7858 7.5852
Li 3.5104 1.3512 2.4858
Li 6.6824 5.3124 5.5248
Li 4.2144 4.2102 7.1658
Ga 0.0000 0.0000 0.0000
Ga 1.8193 1.3098 4.6800
Ag 6.0254 1.6033 2.9052
Ag 5.2513 6.5152 7.5852
```

---

Entry two
First-principles (PBE) data for an optimized crystal structure of Li5GaAg, as listed in Alexandria.

Calculated values
Spin magnetization in μB/cell: 0.00
Crystal system: tetragonal

Structure (extended XYZ):
```
7
Lattice="4.0808 0.6835 -0.0001 -0.6817 4.0811 -0.0001 0.0000 0.0001 7.4153" Properties=species:S:1:pos:R:3 pbc="T T T"
Li 1.3588 4.4228 1.7389
Li 3.7399 2.7240 1.7389
Li 0.0000 0.0000 3.7077
Li -0.3407 2.0406 5.6763
Li 2.0405 0.3418 5.6763
Ga 1.6996 2.3823 3.7076
Ag 0.0000 0.0000 0.0000
```

---

Here are the energies relative to the best structure, in meV/atom: entry one 10; entry two 0.

---

Entry one
First-principles (PBE) data for an optimized crystal structure of LiGa2Ag5, as listed in Alexandria.

Calculated values
Spin magnetization in μB/cell: 0.00
Crystal system: tetragonal

Structure (extended XYZ):
```
8
Lattice="5.3346 -0.0772 -1.7746 -2.7901 4.5470 -1.7760 0.0404 0.0730 5.6220" Properties=species:S:1:pos:R:3 pbc="T T T"
Li 1.9811 3.4779 -2.7632
Ga -0.6690 3.5526 0.9366
Ga 3.3933 1.2405 0.9369
Ag 0.7268 1.2804 1.8259
Ag -0.6849 3.5139 -1.8746
Ag 3.4145 1.2769 3.7478
Ag 1.9977 3.5133 0.0472
Ag 0.7073 1.2390 -0.9849
```

---

Entry two
First-principles (PBE) data for an optimized crystal structure of LiGa2Ag5, as listed in Alexandria.

Calculated values
Spin magnetization in μB/cell: 0.00
Crystal system: orthorhombic

Structure (extended XYZ):
```
16
Lattice="-2.8507 0.8002 3.2737 -2.1151 -0.6513 -4.6584 -1.0373 -13.1368 2.3078" Properties=species:S:1:pos:R:3 pbc="T T T"
Li -4.0473 -9.5833 1.7940
Li -1.9558 -3.4046 -0.8709
Ga -3.7163 -4.4409 0.8252
Ga -3.4920 -1.5997 0.3261
Ga -2.2868 -8.5470 0.0979
Ga -2.5111 -11.3882 0.5970
Ag -5.4756 -11.6579 1.0574
Ag -5.1622 -7.6892 0.3602
Ag -3.0316 -6.0779 -1.1542
Ag -2.6192 -0.8546 -2.0718
Ag -1.8501 -2.8958 2.0727
Ag -4.1531 -10.0921 -1.1495
Ag -2.9715 -6.9100 2.0773
Ag -3.3839 -12.1332 2.9949
Ag -0.5275 -1.3300 -0.1343
Ag -0.8409 -5.2987 0.5629
```

---

Here are the energies relative to the best structure, in meV/atom: entry one 0; entry two 20.